[1]
Computed, not measured: a geometry-optimized Li8HgGe2 structure at the GGA-PBE level of DFT.

Results
formation enthalpy at 0 K: -269.8 meV/atom
crystal system: monoclinic
energy above the most stable polymorph in this dataset: 24.8 meV/atom
spin magnetization: 0.00 μB per atom

a = 14.8497 Å, b = 4.0655 Å, c = 6.0957 Å
α = 90.00°, β = 100.65°, γ = 90.00°
Space group C2/m (No. 12)
Unique sites:
Li 0.0523 0.0000 0.2370 x4
Li 0.1040 0.5000 0.9619 x4
Li 0.1435 0.0000 0.7138 x4
Li 0.1837 0.5000 0.4312 x4
Hg 0.0000 0.5000 0.5000 x2
Ge 0.2248 0.0000 0.1400 x4

[2]
Computed, not measured: a geometry-optimized TlRu3 structure at the GGA-PBE level of DFT.

Results
formation enthalpy at 0 K: 473.3 meV/atom
crystal system: hexagonal
energy above the most stable polymorph in this dataset: 25.0 meV/atom
spin magnetization: 0.00 μB per atom

a = 2.8764 Å, b = 2.8764 Å, c = 8.9752 Å
α = 90.00°, β = 90.00°, γ = 120.00°
Space group P-6m2 (No. 187)
Unique sites:
Tl 0.0000 0.0000 0.0000 x1
Ru 0.0000 0.0000 0.5000 x1
Ru 0.3333 0.6667 0.2735 x2

[3]
Computed, not measured: a geometry-optimized CrSbP structure at the GGA-PBE level of DFT.

Results
E_form (uncorrected): -85 meV per atom
crystal system: monoclinic
energy above the most stable polymorph in this dataset: 78.7 meV/atom
spin magnetization: 0.30 μB per atom

a = 12.0590 Å, b = 3.1609 Å, c = 5.4549 Å
α = 90.00°, β = 97.77°, γ = 90.00°
Space group Cm (No. 8)
Unique sites:
Cr 0.0000 0.0000 0.0000 x2
Cr 0.2206 0.0000 0.3220 x2
Sb 0.0410 0.0000 0.5268 x2
Sb 0.2967 0.5000 0.7032 x2
P 0.1531 0.5000 0.0314 x2
P 0.3954 0.0000 0.1908 x2

[4]
Computed, not measured: a geometry-optimized HfBeIn structure at the GGA-PBE level of DFT.

Results
formation enthalpy at 0 K: 432.3 meV/atom
crystal system: tetragonal
energy above the most stable polymorph in this dataset: 572.6 meV/atom
spin magnetization: 0.00 μB per atom

a = 4.8309 Å, b = 4.8309 Å, c = 9.8417 Å
α = 90.00°, β = 90.00°, γ = 90.00°
Space group I4_1md (No. 109)
Unique sites:
Hf 0.0000 0.0000 0.0000 x4
Be 0.0000 0.0000 0.2585 x4
In 0.0000 0.0000 0.5298 x4

[5]
Computed, not measured: a geometry-optimized KRu2Se structure at the GGA-PBE level of DFT.

Results
E_form (uncorrected): 970 meV per atom
crystal system: orthorhombic
spin magnetization: 0.67 μB per atom

a = 2.7870 Å, b = 5.0425 Å, c = 5.4217 Å
α = 90.00°, β = 90.00°, γ = 90.00°
Space group Pmmm (No. 47)
Unique sites:
K 0.0000 0.0000 0.0000 x1
Ru 0.0000 0.5000 0.5000 x1
Ru 0.5000 0.0000 0.5000 x1
Se 0.5000 0.5000 0.0000 x1

[6]
Computed, not measured: a geometry-optimized ReNiPb2 structure at the GGA-PBE level of DFT.

Results
formation enthalpy at 0 K: 1172.6 meV/atom
crystal system: tetragonal
energy above the most stable polymorph in this dataset: 727.1 meV/atom
spin magnetization: 0.00 μB per atom

a = 7.3536 Å, b = 7.3536 Å, c = 6.1308 Å
α = 90.00°, β = 90.00°, γ = 90.00°
Space group I-42d (No. 122)
Unique sites:
Re 0.0000 0.0000 0.0000 x4
Ni 0.0000 0.0000 0.5000 x4
Pb 0.2273 0.2500 0.6250 x8

[7]
Computed, not measured: a geometry-optimized LiMg2Bi structure at the GGA-PBE level of DFT.

Results
formation enthalpy at 0 K: 32.8 meV/atom
crystal system: trigonal
spin magnetization: 0.00 μB per atom

a = 3.3678 Å, b = 3.3678 Å, c = 31.7977 Å
α = 90.00°, β = 90.00°, γ = 120.00°
Space group R-3m (No. 166, hexagonal axes)
Unique sites:
Li 0.0000 0.0000 0.0000 x3
Mg 0.0000 0.0000 0.4067 x6
Bi 0.0000 0.0000 0.5000 x3

[8]
Computed, not measured: a geometry-optimized MgAgBr4 structure at the GGA-PBE level of DFT.

Results
E_form (uncorrected): -816 meV per atom
crystal system: monoclinic
energy above the most stable polymorph in this dataset: 2.6 meV/atom
spin magnetization: 0.00 μB per atom

a = 15.4802 Å, b = 3.9877 Å, c = 6.6642 Å
α = 90.00°, β = 114.56°, γ = 90.00°
Space group C2/m (No. 12)
Unique sites:
Mg 0.0000 0.0000 0.0000 x2
Ag 0.0000 0.5000 0.5000 x2
Br 0.1068 0.5000 0.2709 x4
Br 0.1127 0.0000 0.7969 x4

[9]
Computed, not measured: a geometry-optimized Os2PbI structure at the GGA-PBE level of DFT.

Results
E_form (uncorrected): 1663 meV per atom
crystal system: tetragonal
energy above the most stable polymorph in this dataset: 144.1 meV/atom
spin magnetization: 0.00 μB per atom

a = 6.0765 Å, b = 6.0765 Å, c = 11.7722 Å
α = 90.00°, β = 90.00°, γ = 90.00°
Space group I-42d (No. 122)
Unique sites:
Os 0.2256 0.2500 0.1250 x8
Pb 0.0000 0.0000 0.5000 x4
I 0.0000 0.0000 0.0000 x4

[10]
Computed, not measured: a geometry-optimized U2Zn16Au structure at the GGA-PBE level of DFT.

Results
formation enthalpy at 0 K: -73.5 meV/atom
crystal system: trigonal
spin magnetization: 0.29 μB per atom

a = 9.0051 Å, b = 9.0051 Å, c = 13.1986 Å
α = 90.00°, β = 90.00°, γ = 120.00°
Space group R3m (No. 160, hexagonal axes)
Unique sites:
U 0.0000 0.0000 0.0000 x3
U 0.0000 0.0000 0.3201 x3
Zn 0.0000 0.0000 0.5548 x3
Zn 0.0003 0.2966 0.6597 x18
Zn 0.0038 0.5019 0.1594 x9
Zn 0.0097 0.5049 0.8105 x9
Zn 0.1718 0.3435 0.8418 x9
Au 0.0000 0.0000 0.7633 x3

[11]
Computed, not measured: a geometry-optimized AuCl3 structure at the GGA-PBE level of DFT.

Results
E_form (uncorrected): 519 meV per atom
crystal system: cubic
spin magnetization: 0.00 μB per atom

a = 5.4892 Å, b = 5.4892 Å, c = 5.4892 Å
α = 90.00°, β = 90.00°, γ = 90.00°
Space group Pm-3n (No. 223)
Unique sites:
Au 0.0000 0.0000 0.0000 x2
Cl 0.0000 0.2500 0.5000 x6

[12]
Computed, not measured: a geometry-optimized Li2ReNi structure at the GGA-PBE level of DFT.

Results
formation enthalpy at 0 K: 194.3 meV/atom
crystal system: monoclinic
energy above the most stable polymorph in this dataset: 85.0 meV/atom
spin magnetization: 0.11 μB per atom

a = 5.0463 Å, b = 9.1731 Å, c = 2.5207 Å
α = 90.00°, β = 116.38°, γ = 90.00°
Space group C2/m (No. 12)
Unique sites:
Li 0.2500 0.2500 0.0000 x4
Re 0.0000 0.0000 0.5000 x2
Ni 0.0000 0.5000 0.5000 x2